DFT (PBE) results for a relaxed structure of SrCuSb.

Values from the calculation:
Electronic total energy in eV per atom: -3.877
E_form (uncorrected) in meV/atom: -576.7

abc: 7.8740 4.5459 9.7002
angles: 90.00 105.65 90.00
Last column: nearest neighbours and their distance in Å.
Space group C2/m (No. 12)
Inequivalent atoms, fractional coordinates:
Sr 0.0000 0.0000 0.0000 x2  2 Cu 2.88
Sr 0.0000 0.5000 0.5000 x2  6 Cu 3.18, 6 Sb 3.46
Cu 0.1034 0.0000 0.3080 x4  3 Sb 2.66-2.67, 1 Sr 2.88
Sb 0.2467 0.0000 0.7417 x4  3 Cu 2.66-2.67

DFT (PBE) results for a relaxed structure of CuPbC3.

Values from the calculation:
Electronic total energy in eV per atom: -4.525
Formation energy from the elements in eV/atom: 2.57

abc: 4.0190 4.0190 4.0190
angles: 90.00 90.00 90.00
Last column: nearest neighbours and their distance in Å.
Space group Pm-3m (No. 221)
Inequivalent atoms, fractional coordinates:
Cu 0.0000 0.0000 0.0000 x1  6 C 2.01
Pb 0.5000 0.5000 0.5000 x1  12 C 2.84
C 0.0000 0.0000 0.5000 x3  2 Cu 2.01

DFT (PBE) results for a relaxed structure of ReRu2S.

Values from the calculation:
Electronic total energy in eV per atom: -8.704
E_form (uncorrected) in meV/atom: 77.4

abc: 5.0259 5.3222 5.3770
angles: 107.16 101.02 118.11
Last column: nearest neighbours and their distance in Å.
Space group P-1 (No. 2)
Inequivalent atoms, fractional coordinates:
Re 0.0046 0.2368 0.4314 x2  2 S 2.33-2.46
Ru 0.4029 0.7144 0.3015 x2  2 S 2.35-2.42
Ru 0.4444 0.1916 0.1633 x2  2 S 2.39-2.47, 2 Ru 2.63-2.66
S 0.0495 0.2462 0.8735 x2  2 Re 2.33-2.46, 4 Ru 2.35-2.47

DFT (PBE) results for a relaxed structure of BeZnOs2.

Values from the calculation:
Electronic total energy in eV per atom: -6.197
Formation energy from the elements in eV/atom: 0.67

abc: 3.7589 3.7589 17.0762
angles: 90.00 90.00 90.00
Last column: nearest neighbours and their distance in Å.
Space group I-42d (No. 122)
Inequivalent atoms, fractional coordinates:
Be 0.0000 0.0000 0.0000 x4  4 Os 2.44, 4 Zn 2.66
Zn 0.0000 0.0000 0.5000 x4  4 Os 2.60, 4 Be 2.66
Os 0.1938 0.2500 0.1250 x8  2 Os 2.38, 2 Be 2.44, 2 Zn 2.60

DFT (PBE) results for a relaxed structure of PrHoEr2Tl2.

Values from the calculation:
Electronic total energy in eV per atom: -4.131
Formation energy from the elements in eV/atom: -0.26

abc: 5.1321 10.0425 6.8131
angles: 90.00 90.00 90.00
Last column: nearest neighbours and their distance in Å.
Space group Pmc2_1 (No. 26)
Inequivalent atoms, fractional coordinates:
Pr 0.0000 0.0418 0.0000 x2  5 Tl 3.29-3.55, 2 Pr 3.51, 2 Ho 3.53
Ho 0.5000 0.1937 0.7232 x2  4 Tl 3.17-3.38, 2 Pr 3.53
Er 0.0000 0.3190 0.3794 x2  4 Tl 3.15-3.22, 2 Er 3.51
Er 0.5000 0.4565 0.0927 x2  5 Tl 3.21-3.54, 4 Er 3.51-3.52
Tl 0.0000 0.3688 0.8399 x2  4 Er 3.15-3.21, 2 Ho 3.21, 1 Pr 3.46
Tl 0.5000 0.1416 0.2636 x2  2 Ho 3.17-3.38, 3 Er 3.22-3.37, 4 Pr 3.29-3.55

DFT (PBE) results for a relaxed structure of KCu12Ge6.

Values from the calculation:
Electronic total energy in eV per atom: -3.966
Formation energy from the elements in eV/atom: 0.14

abc: 10.8914 10.8914 8.7412
angles: 90.00 90.00 120.00
Last column: nearest neighbours and their distance in Å.
Space group R-3m (No. 166, hexagonal axes)
Inequivalent atoms, fractional coordinates:
K 0.0000 0.0000 0.0000 x3  6 Cu 3.21
Cu 0.0000 0.3855 0.5000 x18  4 Ge 2.43-2.50, 3 Cu 2.49-2.69
Cu 0.0854 0.1707 0.3174 x18  3 Ge 2.50-2.63, 4 Cu 2.69-2.79
Ge 0.0454 0.5227 0.2573 x18  7 Cu 2.43-2.63

DFT (PBE) results for a relaxed structure of NpGa5Ni.

Values from the calculation:
Electronic total energy in eV per atom: -5.144
Formation energy from the elements in eV/atom: -0.31

abc: 4.2511 4.2511 6.8268
angles: 90.00 90.00 90.00
Last column: nearest neighbours and their distance in Å.
Space group P4/mmm (No. 123)
Inequivalent atoms, fractional coordinates:
Np 0.0000 0.0000 0.0000 x1  12 Ga 2.98-3.01
Ga 0.0000 0.5000 0.3052 x4  2 Ni 2.51, 1 Ga 2.66
Ga 0.5000 0.5000 0.0000 x1  8 Ga 2.98, 4 Np 3.01
Ni 0.0000 0.0000 0.5000 x1  8 Ga 2.51

DFT (PBE) results for a relaxed structure of HfThTiNb.

Values from the calculation:
Electronic total energy in eV per atom: -8.699
Formation energy from the elements in eV/atom: 0.14

abc: 7.0348 7.0348 7.0348
angles: 90.00 90.00 90.00
Last column: nearest neighbours and their distance in Å.
Space group F-43m (No. 216)
Inequivalent atoms, fractional coordinates:
Hf 0.0000 0.0000 0.0000 x4  4 Nb 3.05, 4 Ti 3.05
Th 0.0000 0.0000 0.5000 x4  4 Ti 3.05, 4 Nb 3.05
Ti 0.2500 0.2500 0.7500 x4  4 Hf 3.05, 4 Th 3.05
Nb 0.2500 0.2500 0.2500 x4  4 Th 3.05, 4 Hf 3.05

DFT (PBE) results for a relaxed structure of TeMo2Ru.

Values from the calculation:
Electronic total energy in eV per atom: -8.139
E_form (uncorrected) in meV/atom: 381.4

abc: 3.0137 4.1609 5.4290
angles: 90.00 96.81 90.00
Last column: nearest neighbours and their distance in Å.
Space group P2/m (No. 10)
Inequivalent atoms, fractional coordinates:
Te 0.0000 0.0000 0.0000 x1  2 Ru 2.71, 4 Mo 2.85, 2 Te 3.01
Mo 0.4842 0.5000 0.2719 x2  1 Mo 2.47
Ru 0.0000 0.0000 0.5000 x1  2 Te 2.71, 8 Mo 2.80-2.90, 2 Ru 3.01

DFT (PBE) results for a relaxed structure of AcHgF.

Values from the calculation:
Electronic total energy in eV per atom: -3.602
E_form (uncorrected) in meV/atom: -1508.3

abc: 4.7261 4.7261 8.4890
angles: 90.00 90.00 90.00
Last column: nearest neighbours and their distance in Å.
Space group I4mm (No. 107)
Inequivalent atoms, fractional coordinates:
Ac 0.0000 0.0000 0.0000 x2  1 F 2.23
Hg 0.0000 0.0000 0.4073 x2  1 F 2.80
F 0.0000 0.0000 0.7375 x2  1 Ac 2.23

DFT (PBE) results for a relaxed structure of Rb3Tb2DyO6.

Values from the calculation:
Electronic total energy in eV per atom: -6.563
E_form (uncorrected) in meV/atom: -2686.7

abc: 6.1084 10.5801 6.8759
angles: 90.00 107.23 90.00
Last column: nearest neighbours and their distance in Å.
Space group C2/m (No. 12)
Inequivalent atoms, fractional coordinates:
Rb 0.0000 0.0000 0.0000 x2  6 O 2.94-2.95
Rb 0.0000 0.3334 0.0000 x4  6 O 2.94-2.95
Tb 0.0000 0.1667 0.5000 x4  6 O 2.34
Dy 0.0000 0.5000 0.5000 x2  6 O 2.33
O 0.2246 0.3340 0.6757 x8  1 Dy 2.33, 2 Tb 2.34
O 0.2266 0.0000 0.6757 x4  1 Dy 2.33, 2 Tb 2.34

DFT (PBE) results for a relaxed structure of Dy4Ni3Ir.

Values from the calculation:
Electronic total energy in eV per atom: -6.139
Formation energy from the elements in eV/atom: -0.56

abc: 3.7663 4.2085 10.3111
angles: 90.00 90.00 90.00
Last column: nearest neighbours and their distance in Å.
Space group Pmm2 (No. 25)
Inequivalent atoms, fractional coordinates:
Dy 0.0000 0.0000 0.0000 x1  6 Ni 2.87-2.92, 1 Ir 2.92
Dy 0.0000 0.5000 0.2780 x1  7 Ni 2.84-2.91
Dy 0.5000 0.0000 0.4985 x1  5 Ni 2.89-2.97, 2 Ir 2.93
Dy 0.5000 0.5000 0.7822 x1  4 Ir 2.90, 3 Ni 2.98-2.99
Ni 0.0000 0.5000 0.5588 x1  2 Ir 2.66, 7 Dy 2.89-2.98
Ni 0.5000 0.0000 0.2101 x1  2 Ni 2.54
Ni 0.5000 0.5000 0.0724 x1  2 Ni 2.54, 2 Dy 2.84
Ir 0.0000 0.0000 0.7166 x1  2 Ni 2.66, 7 Dy 2.90-2.93

DFT (PBE) results for a relaxed structure of Ni5Ag.

Values from the calculation:
Electronic total energy in eV per atom: -5.107
Formation energy from the elements in eV/atom: 0.19

abc: 4.1676 2.5971 13.4697
angles: 90.00 90.00 90.00
Last column: nearest neighbours and their distance in Å.
Space group Amm2 (No. 38)
Inequivalent atoms, fractional coordinates:
Ni 0.0000 0.0000 0.0000 x2  8 Ni 2.49-2.60, 2 Ag 2.63
Ni 0.0000 0.0000 0.3128 x2  6 Ni 2.46-2.60, 4 Ag 2.62
Ni 0.0000 0.0000 0.6576 x2  12 Ni 2.46-2.60
Ni 0.5000 0.0000 0.2053 x2  10 Ni 2.42-2.60, 2 Ag 2.70
Ni 0.5000 0.0000 0.5536 x2  10 Ni 2.42-2.60, 2 Ag 2.66
Ag 0.5000 0.0000 0.8813 x2  2 Ag 2.60, 10 Ni 2.62-2.70

DFT (PBE) results for a relaxed structure of Ti2InW.

Values from the calculation:
Electronic total energy in eV per atom: -7.918
Formation energy from the elements in eV/atom: -0.05

abc: 4.4627 4.4627 3.4622
angles: 90.00 90.00 90.00
Last column: nearest neighbours and their distance in Å.
Space group P4/mmm (No. 123)
Inequivalent atoms, fractional coordinates:
Ti 0.0000 0.5000 0.0000 x2  4 In 2.82, 4 W 2.82, 4 Ti 3.16
In 0.0000 0.0000 0.5000 x1  8 Ti 2.82, 4 W 3.16
W 0.5000 0.5000 0.5000 x1  8 Ti 2.82, 4 In 3.16

DFT (PBE) results for a relaxed structure of SrHoCuTe3.

Values from the calculation:
Electronic total energy in eV per atom: -4.487
E_form (uncorrected) in meV/atom: -1190.0

abc: 9.1077 4.3403 9.7277
angles: 90.00 103.92 90.00
Last column: nearest neighbours and their distance in Å.
Space group P2_1/m (No. 11)
Inequivalent atoms, fractional coordinates:
Sr 0.1864 0.2500 0.2472 x2  7 Te 3.35-3.63, 1 Cu 3.60
Ho 0.3255 0.7500 0.8364 x2  6 Te 3.01-3.12
Cu 0.0749 0.2500 0.5783 x2  4 Te 2.68-2.73, 2 Cu 2.81
Te 0.0985 0.2500 0.8633 x2  1 Cu 2.73, 2 Ho 3.05
Te 0.2266 0.7500 0.5176 x2  3 Cu 2.68-2.71
Te 0.4364 0.7500 0.1662 x2  3 Ho 3.07-3.12, 2 Sr 3.37

DFT (PBE) results for a relaxed structure of Pr2HoTm2Th2.

Values from the calculation:
Electronic total energy in eV per atom: -5.245
Formation energy from the elements in eV/atom: 0.17

abc: 17.7550 3.4771 8.5454
angles: 90.00 117.70 90.00
Last column: nearest neighbours and their distance in Å.
Space group C2/m (No. 12)
Inequivalent atoms, fractional coordinates:
Pr 0.1442 0.0000 0.3720 x4  2 Th 3.37-3.57, 2 Pr 3.48, 3 Tm 3.53-3.73, 2 Ho 3.66
Ho 0.0000 0.5000 0.5000 x2  2 Tm 3.41, 2 Ho 3.48, 4 Th 3.55, 4 Pr 3.66
Tm 0.2100 0.5000 0.8017 x4  1 Ho 3.41, 4 Tm 3.47-3.48, 3 Th 3.52-3.58, 3 Pr 3.53-3.73
Th 0.0662 0.0000 0.9045 x4  2 Pr 3.37-3.57, 3 Th 3.43-3.48, 3 Tm 3.52-3.58, 2 Ho 3.55

DFT (PBE) results for a relaxed structure of TlPtI2N.

Values from the calculation:
Electronic total energy in eV per atom: -3.778
E_form (uncorrected) in meV/atom: 188.8

abc: 6.0074 6.0074 3.7754
angles: 90.00 90.00 90.00
Last column: nearest neighbours and their distance in Å.
Space group P4/mmm (No. 123)
Inequivalent atoms, fractional coordinates:
Tl 0.0000 0.0000 0.0000 x1  8 I 3.55, 2 Tl 3.78
Pt 0.5000 0.5000 0.5000 x1  2 N 1.89
I 0.0000 0.5000 0.5000 x2  2 Pt 3.00
N 0.5000 0.5000 0.0000 x1  2 Pt 1.89

DFT (PBE) results for a relaxed structure of Fe2AgPb.

Values from the calculation:
Electronic total energy in eV per atom: -5.351
Formation energy from the elements in eV/atom: 0.52

abc: 4.0837 4.0837 8.0959
angles: 90.00 90.00 90.00
Last column: nearest neighbours and their distance in Å.
Space group I-4m2 (No. 119)
Inequivalent atoms, fractional coordinates:
Fe 0.0000 0.0000 0.0000 x2  4 Fe 2.87, 4 Pb 2.87, 4 Ag 2.89
Fe 0.0000 0.5000 0.2500 x2  4 Fe 2.87, 4 Ag 2.87, 4 Pb 2.89
Ag 0.0000 0.0000 0.5000 x2  8 Fe 2.87-2.89, 4 Pb 2.87
Pb 0.0000 0.5000 0.7500 x2  8 Fe 2.87-2.89, 4 Ag 2.87

DFT (PBE) results for a relaxed structure of Ca3AgPb2.

Values from the calculation:
Electronic total energy in eV per atom: -3.176
Formation energy from the elements in eV/atom: -0.46

abc: 3.6704 3.6704 12.7320
angles: 90.00 90.00 90.00
Last column: nearest neighbours and their distance in Å.
Space group P4/mmm (No. 123)
Inequivalent atoms, fractional coordinates:
Ca 0.0000 0.0000 0.0000 x1  8 Pb 3.44, 4 Ca 3.67
Ca 0.0000 0.0000 0.3503 x2  4 Ag 3.22, 4 Pb 3.40
Ag 0.5000 0.5000 0.5000 x1  8 Ca 3.22
Pb 0.5000 0.5000 0.1777 x2  8 Ca 3.40-3.44, 4 Pb 3.67

DFT (PBE) results for a relaxed structure of RbH2Cl4.

Values from the calculation:
Electronic total energy in eV per atom: -2.897

abc: 6.4399 11.1344 11.1450
angles: 90.00 90.00 90.00
Last column: nearest neighbours and their distance in Å.
Space group Cccm (No. 66)
Inequivalent atoms, fractional coordinates:
Rb 0.0000 0.0000 0.2500 x4  8 Cl 3.47-3.53
H 0.0474 0.3477 0.0000 x8  1 Cl 1.31
Cl 0.2219 0.4078 0.0000 x8  1 H 1.31
Cl 0.2500 0.2500 0.3817 x8  2 H 2.57, 1 Cl 2.64